# PBE La6TlIn, relaxed
data_La6TlIn
_symmetry_space_group_name_H-M 'P -1'
_symmetry_Int_Tables_number 2
_cell_length_a 6.450
_cell_length_b 6.459
_cell_length_c 6.459
_cell_angle_alpha 90.19
_cell_angle_beta 90.14
_cell_angle_gamma 90.20
loop_
_symmetry_equiv_pos_as_xyz
'x,y,z'
'-x,-y,-z'
loop_
_atom_site_label
_atom_site_type_symbol
_atom_site_fract_x
_atom_site_fract_y
_atom_site_fract_z
_atom_site_occupancy
La1 La 0.005 0.006 0.248 1
La2 La 0.253 0.495 0.993 1
La3 La 0.491 0.753 0.496 1
Tl1 Tl 0.000 0.500 0.500 1
In1 In 0.500 0.000 0.000 1
# DFT total energy	-4.537	eV per atom
# distance to the lowest polymorph of the same formula	69.7	meV/atom
# energy of formation	-203	meV per atom